AsRu2Au2 | PBE | optimized geometry

**Formation enthalpy at 0 K**: 168 meV per atom
**Crystal system**: tetragonal

CIF file:
```
data_AsRu2Au2
_cell_length_a 6.1788
_cell_length_b 6.1788
_cell_length_c 4.4654
_cell_angle_alpha 90.00
_cell_angle_beta 90.00
_cell_angle_gamma 90.00
_space_group_name_H-M_alt 'P 4/m b m'
_space_group_IT_number 127
_space_group_name_Hall '-P 4 2ab'
loop_
_atom_site_label
_atom_site_fract_x
_atom_site_fract_y
_atom_site_fract_z
_atom_site_occupancy
As1 0.0000 0.0000 0.0000 1
Ru1 0.1431 0.3569 0.0000 1
Au1 0.1674 0.6674 0.5000 1
```